Record 1
VASP calculation (PBE) on PmPuBi after structural relaxation.

Polymorph energy (0 for the lowest one): 0.00 eV per formula unit
Calculated volume: 29.8 A^3/atom
Total DFT energy (no corrections): -7.96 eV per atom
Calculated formation energy: -308 meV per atom

abc: 5.914 5.914 5.914
angles: 138.63 138.63 59.94
Sites, in units of the cell vectors:
Pm (0.000, 0.000, 0.000)
Pu (0.687, 0.687, 0.000)
Bi (0.346, 0.346, 0.000)

---

Record 2
VASP calculation (PBE) on Li12Cd7Ag after structural relaxation.

Calculated volume: 18.2 A^3/atom
Total DFT energy (no corrections): -1.78 eV per atom
Calculated formation energy: -170 meV per atom

abc: 7.310 7.310 7.310
angles: 101.21 101.21 101.21
Sites, in units of the cell vectors:
Li (0.000, 0.250, 0.750)
Li (0.000, 0.750, 0.250)
Li (0.170, 0.599, 0.599)
Li (0.250, 0.000, 0.750)
Li (0.250, 0.750, 0.000)
Li (0.401, 0.401, 0.830)
Li (0.401, 0.830, 0.401)
Li (0.599, 0.170, 0.599)
Li (0.599, 0.599, 0.170)
Li (0.750, 0.000, 0.250)
Li (0.750, 0.250, 0.000)
Li (0.830, 0.401, 0.401)
Cd (0.154, 0.154, 0.428)
Cd (0.154, 0.428, 0.154)
Cd (0.428, 0.154, 0.154)
Cd (0.500, 0.500, 0.500)
Cd (0.572, 0.846, 0.846)
Cd (0.846, 0.572, 0.846)
Cd (0.846, 0.846, 0.572)
Ag (0.000, 0.000, 0.000)

---

Record 3
VASP calculation (PBE) on TiNb2Os after structural relaxation.

Polymorph energy (0 for the lowest one): 0.00 eV per formula unit
Calculated volume: 16.4 A^3/atom
Total DFT energy (no corrections): -10.11 eV per atom
Calculated formation energy: -297 meV per atom

abc: 4.526 4.526 4.526
angles: 60.06 60.06 60.06
Sites, in units of the cell vectors:
Ti (0.000, 0.000, 0.000)
Nb (0.500, 0.500, 0.500)
Nb (0.750, 0.750, 0.750)
Os (0.250, 0.250, 0.250)

---

Record 4
VASP calculation (PBE) on Sr2ZrCo after structural relaxation.

Polymorph energy (0 for the lowest one): 0.16 eV per formula unit
Calculated volume: 34.2 A^3/atom
Total DFT energy (no corrections): -4.55 eV per atom
Calculated formation energy: 209 meV per atom

abc: 4.442 4.442 9.239
angles: 103.05 103.05 50.88
Sites, in units of the cell vectors:
Sr (0.000, 0.000, 0.000)
Sr (0.164, 0.164, 0.570)
Zr (0.372, 0.372, 0.285)
Co (0.679, 0.679, 0.285)

---

> total DFT energy (no corrections) of number 4 (Sr2ZrCo)?

-4.55 eV per atom

---

> Among the records above, which one has the lowest calculated formation energy?

PmPuBi